Below is LaLuHg after structural relaxation, with properties calculated at the PBE-GGA level.

Output
energy above the most stable polymorph in this dataset	0.00	eV per formula unit
ΔH_f (0 K)	-304	meV/atom
mass density	9.72	Mg/m³
space-group type	I4mm, No. 107
volume	29.31	Å³/atom
final energy	-10.7	eV per cell
magnetic moment	0.7	Bohr magnetons per cell

a b c (Å): 3.680 3.680 6.994
angles (deg): 105.25 105.25 90.00
Site moments in Bohr magnetons follow the coordinates.
Atoms (fractional coordinates):
Lu 0.311 0.311 0.622  -0.20
La 0.006 0.006 0.012  -0.16
Hg 0.683 0.683 0.366  0.00



Below is SiPOs after structural relaxation, with properties calculated at the PBE-GGA level.

Output
mass density	9.83	Mg/m³
formation energy (no corrections)	0.465	eV/atom
space-group type	P-62m, No. 189
volume	14.03	Å³/atom
final energy	-62.0	eV per cell
magnetic moment	0.0	Bohr magnetons per cell

a b c (Å): 7.132 7.132 2.867
angles (deg): 90.00 90.00 120.00
Atoms (fractional coordinates):
Os 0.563 0.563 0.500
Os 0.000 0.437 0.500
Os 0.437 0.000 0.500
Si 0.000 0.000 0.500
Si 0.333 0.667 0.000
Si 0.667 0.333 0.000
P 0.721 0.000 0.000
P 0.000 0.721 0.000
P 0.279 0.279 0.000



Below is Zr12In3Ga after structural relaxation, with properties calculated at the PBE-GGA level.

Output
ΔH_f (0 K)	-265	meV/atom
mass density	7.12	Mg/m³
space-group type	P4/mmm, No. 123
volume	21.99	Å³/atom
final energy	-118.1	eV per cell
magnetic moment	0.0	Bohr magnetons per cell

a b c (Å): 4.453 4.453 17.744
angles (deg): 90.00 90.00 90.00
Atoms (fractional coordinates):
In 0.000 0.000 0.247
In 0.000 0.000 0.753
In 0.000 0.000 0.500
Zr 0.500 0.000 0.627
Zr 0.500 0.500 0.754
Zr 0.500 0.500 0.000
Zr 0.000 0.500 0.881
Zr 0.500 0.000 0.881
Zr 0.500 0.000 0.119
Zr 0.000 0.500 0.119
Zr 0.500 0.000 0.373
Zr 0.500 0.500 0.246
Zr 0.000 0.500 0.627
Zr 0.000 0.500 0.373
Zr 0.500 0.500 0.500
Ga 0.000 0.000 0.000



Below is PrMg4Cu2 after structural relaxation, with properties calculated at the PBE-GGA level.

Output
energy above the most stable polymorph in this dataset	0.06	eV per formula unit
ΔH_f (0 K)	-111	meV/atom
mass density	4.04	Mg/m³
space-group type	Cmmm, No. 65
volume	21.46	Å³/atom
final energy	-20.1	eV per cell
magnetic moment	0.0	Bohr magnetons per cell

a b c (Å): 4.295 4.304 8.405
angles (deg): 104.83 90.00 90.00
Atoms (fractional coordinates):
Mg 0.000 0.324 0.647
Mg 0.500 0.176 0.352
Mg 0.500 0.824 0.648
Mg 0.000 0.676 0.353
Cu 0.500 0.575 0.149
Cu 0.500 0.425 0.851
Pr 0.000 0.000 0.000



Below is ErSc2Ir after structural relaxation, with properties calculated at the PBE-GGA level.

Output
energy above the most stable polymorph in this dataset	0.09	eV per formula unit
ΔH_f (0 K)	-582	meV/atom
mass density	8.16	Mg/m³
space-group type	Cmcm, No. 63
volume	22.87	Å³/atom
final energy	-56.8	eV per cell
magnetic moment	0.0	Bohr magnetons per cell

a b c (Å): 3.784 5.999 8.495
angles (deg): 90.00 90.00 108.37
Atoms (fractional coordinates):
Ir 0.754 0.507 0.750
Ir 0.246 0.493 0.250
Sc 0.356 0.712 0.564
Sc 0.644 0.288 0.064
Sc 0.356 0.712 0.936
Sc 0.644 0.288 0.436
Er 0.935 0.870 0.250
Er 0.065 0.130 0.750



Below is Li6Th after structural relaxation, with properties calculated at the PBE-GGA level.

Output
ΔH_f (0 K)	469	meV/atom
mass density	3.00	Mg/m³
space-group type	Im-3m, No. 229
volume	21.64	Å³/atom
final energy	-15.6	eV per cell
magnetic moment	0.0	Bohr magnetons per cell

a b c (Å): 5.817 5.817 5.817
angles (deg): 109.47 109.47 109.47
Atoms (fractional coordinates):
Th 0.000 0.000 0.000
Li 0.750 0.500 0.250
Li 0.750 0.250 0.500
Li 0.500 0.250 0.750
Li 0.500 0.750 0.250
Li 0.250 0.500 0.750
Li 0.250 0.750 0.500



Below is Ta2GaSi2 after structural relaxation, with properties calculated at the PBE-GGA level.

Output
mass density	9.84	Mg/m³
formation energy (no corrections)	-0.158	eV/atom
space-group type	I4/mmm, No. 139
volume	16.47	Å³/atom
final energy	-38.4	eV per cell
magnetic moment	0.0	Bohr magnetons per cell

a b c (Å): 3.421 3.421 7.440
angles (deg): 76.71 76.71 90.00
Atoms (fractional coordinates):
Ga 0.000 0.000 0.000
Ta 0.393 0.393 0.214
Ta 0.607 0.607 0.786
Si 0.250 0.750 0.500
Si 0.750 0.250 0.500



Below is CaMgZr after structural relaxation, with properties calculated at the PBE-GGA level.

Output
energy above the most stable polymorph in this dataset	0.53	eV per formula unit
ΔH_f (0 K)	224	meV/atom
mass density	3.22	Mg/m³
space-group type	P3m1, No. 156
volume	26.72	Å³/atom
final energy	-11.5	eV per cell
magnetic moment	0.0	Bohr magnetons per cell

a b c (Å): 3.293 3.293 8.533
angles (deg): 90.00 90.00 120.00
Atoms (fractional coordinates):
Ca 0.000 0.000 0.000
Mg 0.667 0.333 0.345
Zr 0.333 0.667 0.654



Below is HfBeBi2Pt after structural relaxation, with properties calculated at the PBE-GGA level.

Output
ΔH_f (0 K)	1125	meV/atom
mass density	9.33	Mg/m³
space-group type	P4/mmm, No. 123
volume	28.50	Å³/atom
final energy	-21.9	eV per cell
magnetic moment	0.0	Bohr magnetons per cell

a b c (Å): 5.519 4.679 5.519
angles (deg): 90.00 90.00 90.00
Atoms (fractional coordinates):
Be 0.000 0.500 0.000
Bi 0.000 0.000 0.500
Bi 0.500 0.000 0.000
Hf 0.000 0.000 0.000
Pt 0.500 0.500 0.500



Below is Ti4SbTe5 after structural relaxation, with properties calculated at the PBE-GGA level.

Output
mass density	6.13	Mg/m³
formation energy (no corrections)	-0.564	eV/atom
space-group type	C2/m, No. 12
volume	25.76	Å³/atom
final energy	-57.0	eV per cell
magnetic moment	0.0	Bohr magnetons per cell

a b c (Å): 3.841 8.022 8.733
angles (deg): 100.84 102.70 90.00
Atoms (fractional coordinates):
Te 0.831 0.190 0.663
Te 0.169 0.810 0.337
Te 0.500 0.500 0.000
Te 0.163 0.320 0.327
Te 0.837 0.680 0.673
Ti 0.001 0.757 0.002
Ti 0.999 0.243 0.998
Ti 0.670 0.068 0.339
Ti 0.330 0.932 0.661
Sb 0.500 0.000 0.000



Below is BaZr2 after structural relaxation, with properties calculated at the PBE-GGA level.

Output
energy above the most stable polymorph in this dataset	2.27	eV per formula unit
ΔH_f (0 K)	1075	meV/atom
mass density	6.34	Mg/m³
space-group type	I4/mcm, No. 140
volume	27.94	Å³/atom
final energy	-31.6	eV per cell
magnetic moment	0.0	Bohr magnetons per cell

a b c (Å): 6.022 6.022 6.022
angles (deg): 107.71 107.71 113.05
Atoms (fractional coordinates):
Ba 0.250 0.250 0.000
Ba 0.750 0.750 0.000
Zr 0.359 0.859 0.218
Zr 0.141 0.359 0.500
Zr 0.641 0.141 0.782
Zr 0.859 0.641 0.500



Below is Sr3Ga2O6 after structural relaxation, with properties calculated at the PBE-GGA level.

Output
mass density	5.34	Mg/m³
formation energy (no corrections)	-2.392	eV/atom
space-group type	I4/mmm, No. 139
volume	14.09	Å³/atom
final energy	-67.2	eV per cell
magnetic moment	0.0	Bohr magnetons per cell

a b c (Å): 3.901 3.901 10.552
angles (deg): 100.65 100.65 90.00
Atoms (fractional coordinates):
O 0.084 0.584 0.169
O 0.303 0.303 0.606
O 0.916 0.416 0.831
O 0.416 0.916 0.831
O 0.697 0.697 0.394
O 0.584 0.084 0.169
Ga 0.396 0.396 0.791
Ga 0.604 0.604 0.209
Sr 0.182 0.182 0.363
Sr 0.000 0.000 0.000
Sr 0.818 0.818 0.637